(1)
Below is Ac2Pd15Au2 after structural relaxation, with properties calculated at the GGA-PBE level.

abc: 9.3166 9.3166 13.7671
angles: 90.00 90.00 120.00
Space group R-3m (No. 166, hexagonal axes)
One atom of each set of equivalent atoms:
Ac: 0.0000 0.0000 0.1601
Pd: 0.0000 0.3001 0.5000
Pd: 0.0000 0.5000 0.0000
Pd: 0.0035 0.5017 0.6536
Au: 0.0000 0.0000 0.3990

Computed properties:
- ΔE_f: -0.37 eV/atom
- Total magnetic moment: 0.0 μB per formula unit
- N(E_F): 68.15 states/eV/cell

***

(2)
Below is AcPdAu after structural relaxation, with properties calculated at the GGA-PBE level.

abc: 17.7205 4.1375 4.2604
angles: 90.00 96.03 90.00
Space group C2/m (No. 12)
One atom of each set of equivalent atoms:
Ac: 0.1142 0.0000 0.3054
Pd: 0.0472 0.5000 0.7710
Au: 0.2032 0.5000 0.8519

Computed properties:
- ΔE_f: -0.81 eV/atom
- Total magnetic moment: 0.0 μB per formula unit
- N(E_F): 5.79 states/eV/cell

***

(3)
Below is AcPd8Au2 after structural relaxation, with properties calculated at the GGA-PBE level.

abc: 6.5139 6.5139 5.4278
angles: 90.00 90.00 90.00
Space group P4/mmm (No. 123)
One atom of each set of equivalent atoms:
Ac: 0.0000 0.0000 0.0000
Pd: 0.2932 0.2932 0.2440
Au: 0.0000 0.5000 0.5000

Computed properties:
- ΔE_f: 0.06 eV/atom
- Total magnetic moment: 0.0 μB per formula unit
- N(E_F): 13.34 states/eV/cell

***

(4)
Below is Ac2PdAu5 after structural relaxation, with properties calculated at the GGA-PBE level.

abc: 6.4246 6.4246 9.4707
angles: 90.00 90.00 90.00
Space group I4mm (No. 107)
One atom of each set of equivalent atoms:
Ac: 0.0000 0.5000 0.0000
Pd: 0.0000 0.0000 0.4041
Au: 0.0000 0.0000 0.0966
Au: 0.2203 0.2203 0.7516

Computed properties:
- ΔE_f: -0.55 eV/atom
- Total magnetic moment: 0.0 μB per formula unit
- N(E_F): 6.47 states/eV/cell

***

(5)
Below is Ac3PdAu3 after structural relaxation, with properties calculated at the GGA-PBE level.

abc: 4.2410 4.6824 20.4280
angles: 90.00 90.00 90.00
Space group Imm2 (No. 44)
One atom of each set of equivalent atoms:
Ac: 0.0000 0.0000 0.0000
Ac: 0.0000 0.0000 0.3601
Ac: 0.0000 0.5000 0.1857
Pd: 0.0000 0.5000 0.7506
Au: 0.0000 0.0000 0.5272
Au: 0.0000 0.0000 0.8330
Au: 0.0000 0.5000 0.6181

Computed properties:
- ΔE_f: -0.83 eV/atom
- Total magnetic moment: 0.0 μB per formula unit
- N(E_F): 8.59 states/eV/cell

***

(6)
Below is Ac4PdAu after structural relaxation, with properties calculated at the GGA-PBE level.

abc: 7.6303 7.6303 7.0659
angles: 90.00 90.00 90.00
Space group P4/mcc (No. 124)
One atom of each set of equivalent atoms:
Ac: 0.1739 0.3182 0.0000
Pd: 0.0000 0.0000 0.2500
Au: 0.5000 0.5000 0.2500

Computed properties:
- ΔE_f: -0.50 eV/atom
- Total magnetic moment: 0.0 μB per formula unit
- N(E_F): 13.92 states/eV/cell

***

(7)
Below is AcPd6Au6 after structural relaxation, with properties calculated at the GGA-PBE level.

abc: 5.5214 9.3251 9.3790
angles: 90.00 90.00 90.00
Space group Immm (No. 71)
One atom of each set of equivalent atoms:
Ac: 0.0000 0.0000 0.0000
Pd: 0.0000 0.2727 0.5000
Pd: 0.2500 0.2500 0.2500
Au: 0.0000 0.0000 0.3489
Au: 0.0000 0.3430 0.0000
Au: 0.0000 0.5000 0.2914

Computed properties:
- ΔE_f: -0.32 eV/atom
- Total magnetic moment: 0.0 μB per formula unit
- N(E_F): 13.25 states/eV/cell

***

(8)
Below is AcPd4Au2 after structural relaxation, with properties calculated at the GGA-PBE level.

abc: 8.8875 6.9675 5.5374
angles: 90.00 128.22 90.00
Space group C2/m (No. 12)
One atom of each set of equivalent atoms:
Ac: 0.0000 0.0000 0.0000
Pd: 0.1973 0.1974 0.6972
Au: 0.9999 0.5000 0.2499

Computed properties:
- ΔE_f: -0.52 eV/atom
- Total magnetic moment: 0.0 μB per formula unit
- N(E_F): 5.27 states/eV/cell

***

(9)
Below is AcPd2Au3 after structural relaxation, with properties calculated at the GGA-PBE level.

abc: 6.4070 6.4070 21.0770
angles: 90.00 90.00 120.00
Space group R-3m (No. 166, hexagonal axes)
One atom of each set of equivalent atoms:
Ac: 0.0000 0.0000 0.2241
Pd: 0.0000 0.0000 0.0000
Pd: 0.0000 0.5000 0.0000
Au: 0.0207 0.5104 0.2292

Computed properties:
- ΔE_f: -0.39 eV/atom
- Total magnetic moment: 0.0 μB per formula unit
- N(E_F): 16.52 states/eV/cell

***

(10)
Below is Ac3Pd4Au after structural relaxation, with properties calculated at the GGA-PBE level.

abc: 4.2972 6.9470 14.6031
angles: 90.00 90.00 90.00
Space group Immm (No. 71)
One atom of each set of equivalent atoms:
Ac: 0.0000 0.0000 0.0000
Ac: 0.0000 0.5000 0.1791
Pd: 0.0000 0.3028 0.3772
Au: 0.0000 0.0000 0.5000

Computed properties:
- ΔE_f: -0.74 eV/atom
- Total magnetic moment: 0.0 μB per formula unit
- N(E_F): 5.96 states/eV/cell

***

(11)
Below is Ac4Pd5Au2 after structural relaxation, with properties calculated at the GGA-PBE level.

abc: 7.5985 4.2114 8.7751
angles: 90.00 90.68 90.00
Space group P2/m (No. 10)
One atom of each set of equivalent atoms:
Ac: 0.2419 0.0000 0.1214
Ac: 0.2545 0.0000 0.6181
Pd: 0.0000 0.5000 0.5000
Pd: 0.0365 0.5000 0.8295
Pd: 0.3502 0.5000 0.3785
Au: 0.4071 0.5000 0.8611

Computed properties:
- ΔE_f: -0.83 eV/atom
- Total magnetic moment: 0.0 μB per formula unit
- N(E_F): 4.01 states/eV/cell